A geometry-optimized NdCd2Ag structure. Source: Alexandria via LeMat-Bulk, functional PBE.

```
4
Lattice="-2.535 2.535 3.647 2.535 -2.535 3.647 2.535 2.535 -3.647" Properties=species:S:1:pos:R:3 pbc="T T T"
Nd 0.000 0.000 0.000
Cd 2.535 0.000 1.823
Cd 0.000 0.000 3.647
Ag 0.000 2.535 1.823
```

Computed properties:
crystal system: tetragonal
VASP energy: -10.66 eV per cell
calculated formation energy: -0.30 eV/atom
symmetry: I-4m2
N(E_F): 0.471 states/eV per atom